--- w ---
TmBiAs after structural relaxation. Source: OQMD via LeMat-Bulk, functional GGA-PBE.

It has space group F-43m (No. 216), with a = 6.967 Å, b = 6.967 Å, c = 6.967 Å, α = 90.00°, β = 90.00° and γ = 90.00°. The inequivalent atoms are Tm at (0.000, 0.000, 0.000), Bi at (0.000, 0.000, 0.500) and As at (0.250, 0.250, 0.750).

As for the calculated density: 8.90 g/cm³.


--- x ---
TmBiAs after structural relaxation. Source: OQMD via LeMat-Bulk, functional GGA-PBE.

It has space group F-43m (No. 216), with a = 7.097 Å, b = 7.097 Å, c = 7.097 Å, α = 90.00°, β = 90.00° and γ = 90.00°. The inequivalent atoms are Tm at (0.000, 0.000, 0.000), Bi at (0.250, 0.250, 0.250) and As at (0.250, 0.250, 0.750).

As for the calculated density: 8.41 g/cm³.


Name the least stable of them. x.


--- w ---
AsW2C after structural relaxation. Source: OQMD via LeMat-Bulk, functional GGA-PBE.

It has space group P6_3/mmc (No. 194), with a = 3.2667 Å, b = 3.2667 Å, c = 11.9319 Å, α = 90.00°, β = 90.00° and γ = 120.00°. The inequivalent atoms are As at (0.3333, 0.6667, 0.2500), W at (0.3333, 0.6667, 0.5880) and C at (0.0000, 0.0000, 0.0000).

As for the calculated density: 13.69 g/cm³.


--- x ---
AsW2C after structural relaxation. Source: OQMD via LeMat-Bulk, functional GGA-PBE.

It has space group C2/c (No. 15), with a = 9.424 Å, b = 5.426 Å, c = 13.714 Å, α = 90.00°, β = 108.76° and γ = 90.00°. The inequivalent atoms are As at (0.000, 0.143, 0.250), As at (0.167, 0.357, 0.750), W at (0.040, 0.330, 0.088), W at (0.127, 0.170, 0.912), W at (0.207, 0.170, 0.588), C at (0.000, 0.000, 0.000) and C at (0.167, 0.500, 0.000).

As for the calculated density: 13.64 g/cm³.


Name the least stable of them. w.